Below is a relaxed structure of ZnMo2As, with properties calculated at the PBE level.

The formation energy from the elements is 0.190 eV/atom. The calculation puts the density of states at the Fermi level at 2.12 states/eV/f.u. Its total energy is -6.71 eV per atom.

It has space group Pm (No. 6), with a = 2.9260 Å, b = 4.5186 Å, c = 5.0786 Å, α = 90.00°, β = 106.71° and γ = 90.00°. The asymmetric unit holds Zn at (0.0000, 0.0000, 0.0000), Mo at (0.3545, 0.5000, 0.7142), Mo at (0.7401, 0.0000, 0.4767) and As at (0.6295, 0.5000, 0.2592).

Below is a relaxed structure of LiAs2Pt, with properties calculated at the PBE level.

The formation energy from the elements is -0.389 eV/atom. The calculation puts the density of states at the Fermi level at 0.91 states/eV/f.u. Its total energy is -4.70 eV per atom.

It has space group R-3m (No. 166, hexagonal axes), with a = 3.8077 Å, b = 3.8077 Å, c = 18.4160 Å, α = 90.00°, β = 90.00° and γ = 120.00°. The asymmetric unit holds Li at (0.0000, 0.0000, 0.0000), As at (0.0000, 0.0000, 0.2356) and Pt at (0.0000, 0.0000, 0.5000).

Below is a relaxed structure of Ag2GeSb2, with properties calculated at the PBE level.

The calculation puts the density of states at the Fermi level at 2.42 states/eV/f.u. Its total energy is -3.47 eV per atom. The formation energy (no corrections) comes out at 0.24 eV/atom.

It has space group I4/mmm (No. 139), with a = 3.8836 Å, b = 3.8836 Å, c = 15.6138 Å, α = 90.00°, β = 90.00° and γ = 90.00°. The asymmetric unit holds Ag at (0.0000, 0.5000, 0.2500), Ge at (0.0000, 0.0000, 0.0000) and Sb at (0.0000, 0.0000, 0.3968).

Below is a relaxed structure of HoCd7Au4, with properties calculated at the PBE level.

The formation energy from the elements is -0.036 eV/atom. The calculation puts the density of states at the Fermi level at 5.46 states/eV/f.u. Its total energy is -2.04 eV per atom.

It has space group C2/m (No. 12), with a = 12.1954 Å, b = 5.4369 Å, c = 10.1069 Å, α = 90.00°, β = 124.97° and γ = 90.00°. The asymmetric unit holds Ho at (0.0000, 0.0000, 0.0000), Cd at (0.0000, 0.5000, 0.0000), Cd at (0.0633, 0.0000, 0.3648), Cd at (0.1613, 0.5000, 0.5814), Cd at (0.2115, 0.0000, 0.8880), Au at (0.0739, 0.5000, 0.7791) and Au at (0.2072, 0.5000, 0.3265).

Below is a relaxed structure of RbPuTlO6, with properties calculated at the PBE level.

Its total energy is -6.79 eV per atom. The formation energy (no corrections) comes out at -1.52 eV/atom.

It has space group C2 (No. 5), with a = 5.7989 Å, b = 10.6649 Å, c = 5.9730 Å, α = 90.00°, β = 91.98° and γ = 90.00°. The asymmetric unit holds Rb at (0.0000, 0.0000, 0.0000), Pu at (0.0000, 0.6788, 0.5000), Tl at (0.0000, 0.3553, 0.5000), O at (0.1535, 0.5393, 0.3392), O at (0.1972, 0.8162, 0.3224) and O at (0.2225, 0.6939, 0.7295).

Below is a relaxed structure of PmAl2Ni5, with properties calculated at the PBE level.

The formation energy from the elements is -0.372 eV/atom. The calculation puts the density of states at the Fermi level at 5.11 states/eV/f.u. Its total energy is -5.51 eV per atom.

It has space group Immm (No. 71), with a = 3.6989 Å, b = 6.5895 Å, c = 9.5507 Å, α = 90.00°, β = 90.00° and γ = 90.00°. The asymmetric unit holds Pm at (0.0000, 0.0000, 0.0000), Al at (0.0000, 0.5000, 0.2412), Ni at (0.0000, 0.1879, 0.3651) and Ni at (0.0000, 0.5000, 0.0000).